The following is a PBE calculation of a relaxed structure of LiIn2Ir, from Alexandria.

- Calculated formation energy: -0.2063 eV/atom
- Final energy: -4.27 eV per atom
- Volume: 71 Å³ per cell

Lattice parameters (Å, degrees): 3.1133 3.7485 6.0909 90.00 90.00 90.00
Atoms (fractional coordinates):
Li (0.0000, 0.0000, 0.0000)
In (0.5000, 0.5000, 0.2552)
In (0.5000, 0.5000, 0.7448)
Ir (0.0000, 0.0000, 0.5000)

The following is a PBE calculation of a relaxed structure of LiInIr2, from Alexandria.

- Calculated formation energy: -0.0552 eV/atom
- Final energy: -5.65 eV per atom
- Volume: 63 Å³ per cell

Lattice parameters (Å, degrees): 4.8769 4.8769 4.7684 99.77 99.77 34.41
Atoms (fractional coordinates):
Li (0.0000, 0.0000, 0.0000)
In (0.2351, 0.2351, 0.7732)
Ir (0.4913, 0.4913, 0.4607)
Ir (0.7565, 0.7565, 0.2807)

The following is a PBE calculation of a relaxed structure of LiIn2Ir, from Alexandria.

- Calculated formation energy: -0.3099 eV/atom
- Final energy: -4.37 eV per atom
- Volume: 70 Å³ per cell

Lattice parameters (Å, degrees): 4.6204 4.6204 4.6204 60.00 60.00 60.00
Atoms (fractional coordinates):
Li (0.0000, 0.0000, 0.0000)
In (0.2500, 0.2500, 0.2500)
In (0.7500, 0.7500, 0.7500)
Ir (0.5000, 0.5000, 0.5000)

The following is a PBE calculation of a relaxed structure of LiInIr2, from Alexandria.

- Calculated formation energy: -0.0216 eV/atom
- Final energy: -5.62 eV per atom
- Volume: 62 Å³ per cell

Lattice parameters (Å, degrees): 4.4610 4.4610 4.4610 120.58 120.58 89.00
Atoms (fractional coordinates):
Li (0.0000, 0.0000, 0.0000)
In (0.2500, 0.7500, 0.5000)
Ir (0.5000, 0.5000, 0.0000)
Ir (0.7500, 0.2500, 0.5000)